# 1
This record from the Alexandria database describes a geometry-optimized Ba4Mg2Au structure. The functional is PBE.

Formation energy = -0.0919 eV per atom
Size of the total moment = 0.009 μB/cell

Lattice parameters (Å, degrees): 6.3868 6.3868 17.6579 90.00 90.00 90.00
Last column: nearest neighbours and their distance in Å.
Space group I4/mmm (No. 139)
Asymmetric unit:
Ba (0.0000, 0.0000, 0.1880) (multiplicity 4)  1 Au 3.32, 1 Mg 3.70
Ba (0.0000, 0.5000, 0.0000) (multiplicity 4)  2 Au 3.19
Mg (0.0000, 0.0000, 0.3978) (multiplicity 4)  1 Mg 3.61, 5 Ba 3.67-3.70
Au (0.0000, 0.0000, 0.0000) (multiplicity 2)  6 Ba 3.19-3.32


# 2
This record from the Alexandria database describes a geometry-optimized Pr2CdCu2 structure. The functional is PBE.

Formation energy = -0.2185 eV per atom
Size of the total moment = 0.000 μB/cell

Lattice parameters (Å, degrees): 9.6261 6.0568 4.5290 90.00 117.89 90.00
Last column: nearest neighbours and their distance in Å.
Space group C2/m (No. 12)
Asymmetric unit:
Pr (0.2080, 0.0000, 0.2085) (multiplicity 4)  6 Cu 3.05-3.14, 2 Cd 3.36-3.37
Cd (0.0000, 0.5000, 0.0000) (multiplicity 2)  4 Cu 2.88
Cu (0.0000, 0.2070, 0.5000) (multiplicity 4)  1 Cu 2.51


# 3
This record from the Alexandria database describes a geometry-optimized Ac3La2TaN6 structure. The functional is PBE.

Formation energy from raw total energies = -1.14 eV per atom
Size of the total moment = 0.000 μB/cell

Lattice parameters (Å, degrees): 6.3522 11.0381 6.3603 90.00 108.86 90.00
Last column: nearest neighbours and their distance in Å.
Space group C2/m (No. 12)
Asymmetric unit:
Ac (0.0000, 0.0000, 0.0000) (multiplicity 2)  6 N 2.66-2.91
Ac (0.0000, 0.3352, 0.0000) (multiplicity 4)  4 N 2.60-2.64
La (0.0000, 0.1676, 0.5000) (multiplicity 4)  6 N 2.59-2.65
Ta (0.0000, 0.5000, 0.5000) (multiplicity 2)  6 N 2.20-2.26
N (0.2125, 0.3584, 0.7068) (multiplicity 8)  1 Ta 2.20
N (0.2158, 0.5000, 0.2781) (multiplicity 4)  1 Ta 2.26


# 4
This record from the Alexandria database describes a geometry-optimized Al4Ni5 structure. The functional is PBE.

Formation energy = -0.5064 eV per atom
E above lowest polymorph = 0 meV/atom
Size of the total moment = 0.000 μB/cell

Lattice parameters (Å, degrees): 7.0934 7.0934 5.0385 90.00 90.00 120.00
Last column: nearest neighbours and their distance in Å.
Space group P6_3/mcm (No. 193)
Asymmetric unit:
Al (0.0000, 0.0000, 0.0000) (multiplicity 2)  6 Ni 2.48, 2 Al 2.52
Al (0.0000, 0.3698, 0.2500) (multiplicity 6)  9 Ni 2.33-2.58
Ni (0.0000, 0.3011, 0.7500) (multiplicity 6)  7 Al 2.33-2.57
Ni (0.3333, 0.6667, 0.0000) (multiplicity 4)  8 Ni 2.52-2.79, 6 Al 2.58